Entry 1:
Below is a geometry-optimized ZnTe2Os structure, with properties calculated at the PBE-GGA level.

Geometry as extended XYZ:
```
4
Lattice="-1.773 -2.698 0.387 2.309 -1.732 -1.497 3.571 -1.336 7.055" Properties=species:S:1:pos:R:3 pbc="T T T"
Te 1.917 -0.717 3.786
Zn 1.161 -2.549 1.209
Os 2.947 -3.216 4.737
Te 3.441 -1.287 6.797
```

E_form (uncorrected) (meV per atom): 516
Spin magnetization (μB/cell): 0.00
Final energy (eV per atom): -4.181


Entry 2:
Below is a geometry-optimized ErGa5Co2 structure, with properties calculated at the PBE-GGA level.

Geometry as extended XYZ:
```
8
Lattice="3.834 0.000 0.000 1.917 5.953 0.379 1.917 1.466 5.783" Properties=species:S:1:pos:R:3 pbc="T T T"
Ga 3.834 3.965 5.095
Ga 3.834 1.682 3.200
Er 0.000 0.000 0.000
Co 1.917 1.928 1.601
Ga 1.917 3.710 3.081
Ga 3.834 5.737 2.961
Ga 3.834 3.455 1.066
Co 5.750 5.492 4.560
```

Spin magnetization (μB/cell): 0.00
ΔE_f (eV per atom): -0.375
Final energy (eV per atom): -4.614


Entry 3:
Below is a geometry-optimized Pr4YBi5 structure, with properties calculated at the PBE-GGA level.

Geometry as extended XYZ:
```
10
Lattice="4.615 0.000 0.000 0.000 4.615 0.000 -2.307 -2.307 16.289" Properties=species:S:1:pos:R:3 pbc="T T T"
Pr 2.307 2.307 3.240
Bi 0.000 0.000 9.773
Bi 2.307 2.307 13.097
Pr 2.307 2.307 9.802
Pr 0.000 0.000 13.049
Bi 0.000 0.000 3.192
Bi 2.307 2.307 0.000
Pr 0.000 0.000 6.487
Y 0.000 0.000 0.000
Bi 2.307 2.307 6.516
```

Spin magnetization (μB/cell): 0.00
ΔE_f (eV per atom): -0.943
Final energy (eV per atom): -5.441


Entry 4:
Below is a geometry-optimized MnTc5 structure, with properties calculated at the PBE-GGA level.

Geometry as extended XYZ:
```
6
Lattice="-1.596 -1.411 -1.713 0.493 -6.597 2.793 -3.450 0.818 2.540" Properties=species:S:1:pos:R:3 pbc="T T T"
Tc -0.724 -5.392 0.753
Mn 0.489 -6.582 2.784
Tc -3.038 -2.291 0.356
Tc -1.806 -3.569 2.440
Tc -2.165 -6.279 2.826
Tc -0.380 -2.612 0.324
```

Spin magnetization (μB/cell): 0.00
ΔE_f (eV per atom): 0.050
Final energy (eV per atom): -10.117